Compound: GaAgBiN2
Source: the Alexandria database
Functional: GGA-PBE
Structure: relaxed

As for the magnetic moment: 0.0 μB/f.u. As for the formation energy (no corrections): 1.572 eV/atom. The calculation puts the volume at 21.299 Å³ per atom.

The structure belongs to space group P4/mmm (No. 123); the cell edges are 4.348, 4.348 and 5.634 Å and the angles 90.00°, 90.00° and 90.00°. The distinct sites, in fractional coordinates, are Ga at (0.000, 0.000, 0.000), Ag at (0.500, 0.500, 0.000), Bi at (0.500, 0.500, 0.500) and N at (0.000, 0.500, 0.500).

***

Compound: SiSnB2
Source: the Alexandria database
Functional: GGA-PBE
Structure: relaxed

As for the magnetic moment: 0.0 μB/f.u. Its energy above the most stable polymorph in this dataset is 0 meV/atom. As for the formation energy (no corrections): 0.548 eV/atom. The calculation puts the volume at 15.541 Å³ per atom.

The structure belongs to space group I-42d (No. 122); the cell edges are 4.818, 4.818 and 10.712 Å and the angles 90.00°, 90.00° and 90.00°. The distinct sites, in fractional coordinates, are Si at (0.000, 0.000, 0.000), Sn at (0.000, 0.000, 0.500) and B at (0.196, 0.250, 0.125).